# Li2VCrS4 (SCAN, PBEsol geometry)
# Formation energy without anion corrections = -1.340 eV per atom
# VASP energy = -179.8 eV per cell
data_Li2VCrS4
_cell_length_a 13.254
_cell_length_b 3.404
_cell_length_c 6.044
_cell_angle_alpha 90.00
_cell_angle_beta 116.87
_cell_angle_gamma 90.00
_space_group_name_H-M_alt 'C 1 2/m 1'
_space_group_IT_number 12
loop_
_space_group_symop_operation_xyz
'x,y,z'
'-x,-y,-z'
'-x,y,-z'
'x,-y,z'
'x+1/2,y+1/2,z'
'-x+1/2,-y+1/2,-z'
'-x+1/2,y+1/2,-z'
'x+1/2,-y+1/2,z'
loop_
_atom_site_label
_atom_site_fract_x
_atom_site_fract_y
_atom_site_fract_z
Li1 0.250 0.000 0.250
V1 0.000 0.000 0.000
Cr1 0.000 0.500 0.500
S1 0.112 0.000 0.778
S2 0.114 0.500 0.285

***

# LiCrSb2 (SCAN, PBEsol geometry)
# Energy relative to the lowest polymorph listed for this composition = 0 meV per atom
# Formation energy without anion corrections = -0.162 eV per atom
# VASP energy = -191.9 eV per cell
data_LiCrSb2
_cell_length_a 4.582
_cell_length_b 4.582
_cell_length_c 7.524
_cell_angle_alpha 90.00
_cell_angle_beta 90.00
_cell_angle_gamma 90.00
_space_group_name_H-M_alt 'I 4/m m m'
_space_group_IT_number 139
_space_group_name_Hall '-I 4 2'
loop_
_atom_site_label
_atom_site_fract_x
_atom_site_fract_y
_atom_site_fract_z
Li1 0.000 0.000 0.000
Cr1 0.000 0.000 0.500
Sb1 0.000 0.500 0.250

***

# LiCrSb4 (SCAN, PBEsol geometry)
# Formation energy without anion corrections = 0.308 eV per atom
# VASP energy = -671.9 eV per cell
data_LiCrSb4
_cell_length_a 8.700
_cell_length_b 8.700
_cell_length_c 8.700
_cell_angle_alpha 90.00
_cell_angle_beta 90.00
_cell_angle_gamma 90.00
_space_group_name_H-M_alt 'F -4 3 m'
_space_group_IT_number 216
_space_group_name_Hall 'F -4 2 3'
loop_
_atom_site_label
_atom_site_fract_x
_atom_site_fract_y
_atom_site_fract_z
Li1 0.000 0.000 0.000
Cr1 0.250 0.250 0.750
Sb1 0.125 0.125 0.375

***

Copy entry 3 word for word.
# LiCrSb4 (SCAN, PBEsol geometry)
# Formation energy without anion corrections = 0.308 eV per atom
# VASP energy = -671.9 eV per cell
data_LiCrSb4
_cell_length_a 8.700
_cell_length_b 8.700
_cell_length_c 8.700
_cell_angle_alpha 90.00
_cell_angle_beta 90.00
_cell_angle_gamma 90.00
_space_group_name_H-M_alt 'F -4 3 m'
_space_group_IT_number 216
_space_group_name_Hall 'F -4 2 3'
loop_
_atom_site_label
_atom_site_fract_x
_atom_site_fract_y
_atom_site_fract_z
Li1 0.000 0.000 0.000
Cr1 0.250 0.250 0.750
Sb1 0.125 0.125 0.375

***

Q: The lowest formation energy without anion corrections belongs to which entry?
A: Li2VCrS4

***

Q: What is the VASP energy in the first record?
A: -179.8 eV per cell

***

Repeat the third record exactly.
# LiCrSb4 (SCAN, PBEsol geometry)
# Formation energy without anion corrections = 0.308 eV per atom
# VASP energy = -671.9 eV per cell
data_LiCrSb4
_cell_length_a 8.700
_cell_length_b 8.700
_cell_length_c 8.700
_cell_angle_alpha 90.00
_cell_angle_beta 90.00
_cell_angle_gamma 90.00
_space_group_name_H-M_alt 'F -4 3 m'
_space_group_IT_number 216
_space_group_name_Hall 'F -4 2 3'
loop_
_atom_site_label
_atom_site_fract_x
_atom_site_fract_y
_atom_site_fract_z
Li1 0.000 0.000 0.000
Cr1 0.250 0.250 0.750
Sb1 0.125 0.125 0.375